This record from the Alexandria database describes a relaxed NaCd2Sb crystal. The functional is PBE.

Output
Electronic total energy (eV/atom): -1.69
DOS at the Fermi energy (states/eV/cell): 1.64
SG: R-3m (166)
Uncorrected formation energy (eV per atom): 0.124

a = 3.2902 Å, b = 3.2902 Å, c = 11.8021 Å
α = 81.99°, β = 81.99°, γ = 60.00°
Fractional coordinates of all 4 atoms:
Na  0.0000  0.0000  0.0000
Cd  0.0878  0.0878  0.7366
Cd  0.9122  0.9122  0.2634
Sb  0.5000  0.5000  0.5000

This record from the Alexandria database describes a relaxed ThTlHg crystal. The functional is PBE.

Output
Electronic total energy (eV/atom): -3.36
DOS at the Fermi energy (states/eV/cell): 2.60
SG: F-43m (216)

a = 5.0435 Å, b = 5.0435 Å, c = 5.0435 Å
α = 60.00°, β = 60.00°, γ = 60.00°
Fractional coordinates of all 3 atoms:
Hg  0.2500  0.2500  0.2500
Tl  0.0000  0.0000  0.0000
Th  0.5000  0.5000  0.5000

This record from the Alexandria database describes a relaxed Pm2Ag5Au3 crystal. The functional is PBE.

Output
Electronic total energy (eV/atom): -3.64
DOS at the Fermi energy (states/eV/cell): 8.52
SG: Ibam (72)

a = 5.7090 Å, b = 9.2817 Å, c = 9.2817 Å
α = 92.80°, β = 72.09°, γ = 72.09°
Fractional coordinates of all 20 atoms:
Ag  0.0014  0.7486  0.7486
Ag  0.2500  0.5000  0.5000
Ag  0.7500  0.5000  0.5000
Ag  0.5014  0.7486  0.7486
Ag  0.4986  0.2514  0.2514
Ag  0.8774  0.9777  0.2675
Ag  0.3774  0.2675  0.9777
Ag  0.6226  0.7325  0.0223
Ag  0.9986  0.2514  0.2514
Ag  0.1226  0.0223  0.7325
Au  0.2500  0.0000  0.0000
Au  0.6280  0.5237  0.2203
Au  0.7500  0.0000  0.0000
Au  0.8720  0.7797  0.4763
Au  0.3720  0.4763  0.7797
Au  0.1280  0.2203  0.5237
Pm  0.1253  0.6184  0.1310
Pm  0.8747  0.3816  0.8690
Pm  0.3747  0.8690  0.3816
Pm  0.6253  0.1310  0.6184

This record from the Alexandria database describes a relaxed ZnHgBr2 crystal. The functional is PBE.

Output
Electronic total energy (eV/atom): -1.79
DOS at the Fermi energy (states/eV/cell): 0.00
SG: P1 (1)
Uncorrected formation energy (eV per atom): -0.561

a = 6.1587 Å, b = 7.2323 Å, c = 7.2699 Å
α = 65.49°, β = 73.22°, γ = 64.99°
Fractional coordinates of all 8 atoms:
Br  0.3428  0.0306  0.8149
Br  0.9402  0.1752  0.4201
Br  0.0331  0.5886  0.8111
Br  0.6953  0.7431  0.4003
Zn  0.7339  0.9128  0.6137
Zn  0.9992  0.3783  0.6141
Hg  0.6540  0.2653  0.9431
Hg  0.3482  0.4833  0.2746

Look up the DOS at the Fermi energy of the first one. 1.64 states/eV/cell

electronic total energy of number 1 (NaCd2Sb)? -1.69 eV/atom